DFT (PBE) results for a geometry-optimized NaTl4Ga structure.

Unit cell a=5.4995 b=5.4995 c=10.7824 alpha=113.59 beta=113.59 gamma=35.87
Last column: nearest neighbours and their distance in Å.
Positions (direct):
Na 0.0000 0.0000 0.0000  8 Tl 3.26-3.42, 2 Na 3.39
Tl 0.1554 0.1554 0.3495  3 Ga 3.22-3.27, 7 Tl 3.27-3.47, 1 Na 3.42
Tl 0.3413 0.3413 0.1701  1 Ga 3.23, 3 Na 3.26-3.40, 5 Tl 3.27-3.47
Tl 0.6587 0.6587 0.8299  1 Ga 3.23, 3 Na 3.26-3.40, 5 Tl 3.27-3.47
Tl 0.8446 0.8446 0.6505  3 Ga 3.22-3.27, 7 Tl 3.27-3.47, 1 Na 3.42
Ga 0.5000 0.5000 0.5000  8 Tl 3.22-3.27, 2 Ga 3.39

Results
Distance to the lowest polymorph of the same formula: 0 meV per atom
DOS(E_F): 3.240 states/eV/f.u.
Space-group type: C2/m, No. 12
Energy of formation from the pure elements: 0.0360 eV/atom

---

DFT (PBE) results for a geometry-optimized LaScAs2 structure.

Unit cell a=6.2427 b=6.2427 c=6.2427 alpha=141.08 beta=141.08 gamma=56.22
Last column: nearest neighbours and their distance in Å.
Positions (direct):
La 0.0000 0.0000 0.0000  4 As 2.94
Sc 0.2500 0.7500 0.5000  4 As 2.94
As 0.5000 0.5000 0.0000  4 La 2.94
As 0.7500 0.2500 0.5000  4 Sc 2.94

Results
Distance to the lowest polymorph of the same formula: 500 meV per atom
DOS(E_F): 1.690 states/eV/f.u.
Space-group type: I-4m2, No. 119
Energy of formation from the pure elements: -0.9301 eV/atom

---

DFT (PBE) results for a geometry-optimized AcAl6Ga2 structure.

Unit cell a=4.2317 b=4.2317 c=9.8189 alpha=90.00 beta=90.00 gamma=90.00
Last column: nearest neighbours and their distance in Å.
Positions (direct):
Ac 0.0000 0.0000 0.0000  8 Ga 3.27, 8 Al 3.63
Al 0.0000 0.0000 0.5000  12 Al 2.89-2.99
Al 0.0000 0.5000 0.2999  2 Ga 2.67, 8 Al 2.89-2.99
Al 0.0000 0.5000 0.7001  2 Ga 2.67, 8 Al 2.89-2.99
Al 0.5000 0.0000 0.2999  2 Ga 2.67, 8 Al 2.89-2.99
Al 0.5000 0.0000 0.7001  2 Ga 2.67, 8 Al 2.89-2.99
Al 0.5000 0.5000 0.5000  12 Al 2.89-2.99
Ga 0.5000 0.5000 0.1335  1 Ga 2.62, 4 Al 2.67
Ga 0.5000 0.5000 0.8665  1 Ga 2.62, 4 Al 2.67

Results
DOS(E_F): 5.920 states/eV/f.u.
Space-group type: P4/mmm, No. 123
Energy of formation from the pure elements: -0.1849 eV/atom

---

DFT (PBE) results for a geometry-optimized Nd4Se3S2 structure.

Unit cell a=5.5190 b=5.5190 c=12.3699 alpha=96.80 beta=96.80 gamma=41.77
Last column: nearest neighbours and their distance in Å.
Positions (direct):
Nd 0.0896 0.0896 0.1658  3 Se 2.91-3.02, 3 S 2.98-3.09
Nd 0.3821 0.3821 0.3820  2 S 2.85, 3 Se 2.91-3.02
Nd 0.6179 0.6179 0.6180  2 S 2.85, 3 Se 2.91-3.02
Nd 0.9104 0.9104 0.8342  3 Se 2.91-3.02, 3 S 2.98-3.09
Se 0.1064 0.1064 0.4116  6 Nd 2.91-3.21
Se 0.5000 0.5000 0.0000  4 Nd 2.91
Se 0.8936 0.8936 0.5884  6 Nd 2.91-3.21
S 0.1953 0.1953 0.7803  5 Nd 2.85-3.09
S 0.8047 0.8047 0.2197  5 Nd 2.85-3.09

Results
Distance to the lowest polymorph of the same formula: 0 meV per atom
Formation energy from raw total energies: -1.83 eV/atom
DOS(E_F): 4.315 states/eV/f.u.
Space-group type: C2/m, No. 12

---

DFT (PBE) results for a geometry-optimized Li3CrN structure.

Unit cell a=3.8414 b=3.8414 c=3.8414 alpha=90.00 beta=90.00 gamma=90.00
Last column: nearest neighbours and their distance in Å.
Positions (direct):
Li 0.0000 0.0000 0.5000  2 N 1.92
Li 0.0000 0.5000 0.0000  2 N 1.92
Li 0.5000 0.0000 0.0000  2 N 1.92
Cr 0.5000 0.5000 0.5000  12 Li 2.72
N 0.0000 0.0000 0.0000  6 Li 1.92

Results
Distance to the lowest polymorph of the same formula: 0 meV per atom
Formation energy from raw total energies: 0.76 eV/atom
DOS(E_F): 5.449 states/eV/f.u.
Space-group type: Pm-3m, No. 221

---

DFT (PBE) results for a geometry-optimized Ca3GaIr structure.

Unit cell a=5.4553 b=5.4553 c=5.4553 alpha=90.00 beta=90.00 gamma=90.00
Last column: nearest neighbours and their distance in Å.
Positions (direct):
Ca 0.0000 0.0000 0.5000  2 Ir 2.73
Ca 0.0000 0.5000 0.0000  2 Ir 2.73
Ca 0.5000 0.0000 0.0000  2 Ir 2.73
Ga 0.5000 0.5000 0.5000  12 Ca 3.86
Ir 0.0000 0.0000 0.0000  6 Ca 2.73

Results
Distance to the lowest polymorph of the same formula: 0 meV per atom
DOS(E_F): 3.554 states/eV/f.u.
Space-group type: Pm-3m, No. 221
Energy of formation from the pure elements: -0.1262 eV/atom

---

DFT (PBE) results for a geometry-optimized VTeAsI2 structure.

Unit cell a=5.5358 b=5.5358 c=5.7346 alpha=90.00 beta=90.00 gamma=90.00
Last column: nearest neighbours and their distance in Å.
Positions (direct):
V 0.0000 0.0000 0.0000  4 Te 3.91, 8 I 3.99
Te 0.5000 0.5000 0.0000  2 As 2.87
As 0.5000 0.5000 0.5000  4 I 2.77, 2 Te 2.87
I 0.0000 0.5000 0.5000  2 As 2.77
I 0.5000 0.0000 0.5000  2 As 2.77

Results
Distance to the lowest polymorph of the same formula: 173 meV per atom
Formation energy from raw total energies: 0.71 eV/atom
DOS(E_F): 4.985 states/eV/f.u.
Space-group type: P4/mmm, No. 123

---

DFT (PBE) results for a geometry-optimized TmTlSe structure.

Unit cell a=3.8387 b=3.8387 c=12.3663 alpha=90.00 beta=90.00 gamma=120.00
Last column: nearest neighbours and their distance in Å.
Positions (direct):
Tm 0.0000 0.0000 0.1501  3 Se 2.89, 3 Tl 3.23
Tm 0.0000 0.0000 0.8499  3 Se 2.89, 3 Tl 3.23
Tl 0.6667 0.3333 0.3400  3 Se 2.97, 3 Tm 3.23
Tl 0.6667 0.3333 0.6600  3 Se 2.97, 3 Tm 3.23
Se 0.0000 0.0000 0.5000  6 Tl 2.97
Se 0.6667 0.3333 0.0000  6 Tm 2.89

Results
Formation energy from raw total energies: -0.63 eV/atom
DOS(E_F): 1.069 states/eV/f.u.
Space-group type: P-6m2, No. 187

---

DFT (PBE) results for a geometry-optimized Pr3Sm2Y3 structure.

Unit cell a=10.9102 b=10.9102 c=10.9102 alpha=152.76 beta=152.66 gamma=38.98
Last column: nearest neighbours and their distance in Å.
Positions (direct):
Pr 0.0000 0.0000 0.0000  4 Pr 3.64, 8 Y 3.64-3.65
Pr 0.3753 0.8753 0.5000  6 Y 3.63-3.64, 2 Pr 3.64, 4 Sm 3.64-3.65
Pr 0.6247 0.1247 0.5000  6 Y 3.63-3.64, 2 Pr 3.64, 4 Sm 3.64-3.65
Sm 0.2495 0.2495 0.0000  4 Y 3.62-3.64, 4 Pr 3.64-3.65, 4 Sm 3.64
Sm 0.7505 0.7505 0.0000  4 Y 3.62-3.64, 4 Pr 3.64-3.65, 4 Sm 3.64
Y 0.1257 0.6257 0.5000  4 Sm 3.62-3.64, 6 Pr 3.64-3.65, 2 Y 3.65
Y 0.5000 0.5000 0.0000  8 Pr 3.63-3.64, 4 Y 3.65
Y 0.8743 0.3743 0.5000  4 Sm 3.62-3.64, 6 Pr 3.64-3.65, 2 Y 3.65

Results
DOS(E_F): 12.847 states/eV/f.u.
Space-group type: Immm, No. 71
Energy of formation from the pure elements: 0.0168 eV/atom

---

DFT (PBE) results for a geometry-optimized ZrTlCu2F8 structure.

Unit cell a=5.2913 b=5.2913 c=8.0027 alpha=104.56 beta=104.56 gamma=76.76
Last column: nearest neighbours and their distance in Å.
Positions (direct):
Zr 0.0000 0.0000 0.0000  6 F 2.04-2.05
Tl 0.0000 0.0000 0.5000  6 F 2.85-2.90
Cu 0.4566 0.4566 0.2961  5 F 1.96-2.18
Cu 0.5434 0.5434 0.7039  5 F 1.96-2.18
F 0.1982 0.7683 0.8109  1 Zr 2.04, 1 Cu 2.18
F 0.2317 0.8018 0.1890  1 Zr 2.04, 1 Cu 2.18
F 0.2600 0.2600 0.0733  1 Cu 1.99, 1 Zr 2.05
F 0.3418 0.3418 0.4932  2 Cu 1.96-2.09
F 0.6582 0.6582 0.5068  2 Cu 1.96-2.09
F 0.7400 0.7400 0.9267  1 Cu 1.99, 1 Zr 2.05
F 0.7683 0.1982 0.8109  1 Zr 2.04, 1 Cu 2.18
F 0.8018 0.2317 0.1890  1 Zr 2.04, 1 Cu 2.18

Results
Formation energy from raw total energies: -2.38 eV/atom
DOS(E_F): 5.625 states/eV/f.u.
Space-group type: C2/m, No. 12

---

DFT (PBE) results for a geometry-optimized CaTa2Co2 structure.

Unit cell a=7.6066 b=7.6066 c=2.8927 alpha=90.00 beta=90.00 gamma=90.00
Last column: nearest neighbours and their distance in Å.
Positions (direct):
Ca 0.0000 0.0000 0.0000  2 Ca 2.89, 4 Co 2.98, 8 Ta 3.23
Ca 0.5000 0.5000 0.0000  2 Ca 2.89, 4 Co 2.98, 8 Ta 3.23
Ta 0.1531 0.3469 0.5000  6 Co 2.60-2.75, 2 Ta 2.89
Ta 0.3469 0.8469 0.5000  6 Co 2.60-2.75, 2 Ta 2.89
Ta 0.6531 0.1531 0.5000  6 Co 2.60-2.75, 2 Ta 2.89
Ta 0.8469 0.6531 0.5000  6 Co 2.60-2.75, 2 Ta 2.89
Co 0.1300 0.6300 0.0000  6 Ta 2.60-2.75, 3 Co 2.80-2.89
Co 0.3700 0.1300 0.0000  6 Ta 2.60-2.75, 3 Co 2.80-2.89
Co 0.6300 0.8700 0.0000  6 Ta 2.60-2.75, 3 Co 2.80-2.89
Co 0.8700 0.3700 0.0000  6 Ta 2.60-2.75, 3 Co 2.80-2.89

Results
Distance to the lowest polymorph of the same formula: 153 meV per atom
DOS(E_F): 4.257 states/eV/f.u.
Space-group type: P4/mbm, No. 127
Energy of formation from the pure elements: 0.1449 eV/atom

---

DFT (PBE) results for a geometry-optimized Li3Ca2ReO6 structure.

Unit cell a=5.7448 b=5.7448 c=5.2754 alpha=98.32 beta=98.32 gamma=122.38
Last column: nearest neighbours and their distance in Å.
Positions (direct):
Li 0.0000 0.0000 0.0000  6 O 2.29-2.30
Li 0.3765 0.6235 0.0000  4 O 2.03-2.07
Li 0.6235 0.3765 0.0000  4 O 2.03-2.07
Ca 0.1678 0.8322 0.5000  6 O 2.33-2.38
Ca 0.8322 0.1678 0.5000  6 O 2.33-2.38
Re 0.5000 0.5000 0.5000  6 O 2.00-2.07
O 0.1533 0.4355 0.2676  1 Re 2.00, 1 Li 2.07
O 0.2627 0.2627 0.7371  2 Li 2.03, 1 Re 2.07
O 0.4355 0.1533 0.2676  1 Re 2.00, 1 Li 2.07
O 0.5645 0.8467 0.7324  1 Re 2.00, 1 Li 2.07
O 0.7373 0.7373 0.2629  2 Li 2.03, 1 Re 2.07
O 0.8467 0.5645 0.7324  1 Re 2.00, 1 Li 2.07

Results
Formation energy from raw total energies: -2.15 eV/atom
DOS(E_F): 5.592 states/eV/f.u.
Space-group type: C2/m, No. 12

---

- The highest DOS(E_F) belongs to which entry?
  Pr3Sm2Y3